# Mg5Cd2Pb6 | Alexandria | PBE-GGA | optimized geometry
# - Total DFT energy (no corrections): -2.45 eV/atom
data_Mg5Cd2Pb6
_chemical_formula_sum 'Mg10 Cd4 Pb12'
_cell_length_a 11.441
_cell_length_b 12.366
_cell_length_c 5.007
_cell_angle_alpha 90.00
_cell_angle_beta 90.00
_cell_angle_gamma 90.00
_symmetry_space_group_name_H-M 'P b a m'
_symmetry_Int_Tables_number 55
_symmetry_space_group_name_Hall '-P 2 2ab'
loop_
_atom_site_label
_atom_site_type_symbol
_atom_site_fract_x
_atom_site_fract_y
_atom_site_fract_z
Mg1 Mg 0.000 0.000 0.000
Mg2 Mg 0.036 0.282 0.000
Mg3 Mg 0.232 0.594 0.000
Cd1 Cd 0.122 0.696 0.500
Pb1 Pb 0.087 0.122 0.500
Pb2 Pb 0.131 0.439 0.500
Pb3 Pb 0.203 0.847 0.000



# Mg5Cd2Pb | Alexandria | PBE-GGA | optimized geometry
# - Energy above the most stable polymorph in this dataset: 0.030 eV per atom
data_Mg5Cd2Pb
_chemical_formula_sum 'Mg20 Cd8 Pb4'
_cell_length_a 7.622
_cell_length_b 7.622
_cell_length_c 13.059
_cell_angle_alpha 90.00
_cell_angle_beta 90.00
_cell_angle_gamma 90.00
_symmetry_space_group_name_H-M 'I 4/m c m'
_symmetry_Int_Tables_number 140
_symmetry_space_group_name_Hall '-I 4 2c'
loop_
_atom_site_label
_atom_site_type_symbol
_atom_site_fract_x
_atom_site_fract_y
_atom_site_fract_z
Mg1 Mg 0.000 0.000 0.000
Mg2 Mg 0.150 0.350 0.156
Cd1 Cd 0.143 0.357 0.500
Pb1 Pb 0.000 0.000 0.250



# Mg6CdPb2 | Alexandria | PBE-GGA | optimized geometry
# - Energy above the most stable polymorph in this dataset: 0.027 eV per atom
data_Mg6CdPb2
_chemical_formula_sum 'Mg6 Cd1 Pb2'
_cell_length_a 5.0882
_cell_length_b 5.0882
_cell_length_c 9.6975
_cell_angle_alpha 90.00
_cell_angle_beta 90.00
_cell_angle_gamma 120.00
_symmetry_space_group_name_H-M 'P -3 m 1'
_symmetry_Int_Tables_number 164
_symmetry_space_group_name_Hall '-P 3 2"'
loop_
_atom_site_label
_atom_site_type_symbol
_atom_site_fract_x
_atom_site_fract_y
_atom_site_fract_z
Mg1 Mg 0.0000 0.0000 0.1615
Mg2 Mg 0.3333 0.6667 0.0549
Mg3 Mg 0.3333 0.6667 0.3975
Cd1 Cd 0.0000 0.0000 0.5000
Pb1 Pb 0.3333 0.6667 0.7290



# Mg3CdPb3 | Alexandria | PBE-GGA | optimized geometry
# - Energy above the most stable polymorph in this dataset: 0.043 eV per atom
data_Mg3CdPb3
_chemical_formula_sum 'Mg12 Cd4 Pb12'
_cell_length_a 9.171
_cell_length_b 10.476
_cell_length_c 7.912
_cell_angle_alpha 90.00
_cell_angle_beta 92.64
_cell_angle_gamma 90.00
_symmetry_space_group_name_H-M 'C 1 2/m 1'
_symmetry_Int_Tables_number 12
_symmetry_space_group_name_Hall '-C 2y'
loop_
_atom_site_label
_atom_site_type_symbol
_atom_site_fract_x
_atom_site_fract_y
_atom_site_fract_z
Mg1 Mg 0.026 0.000 0.310
Mg2 Mg 0.245 0.272 0.219
Cd1 Cd 0.224 0.500 0.444
Pb1 Pb 0.000 0.165 0.000
Pb2 Pb 0.000 0.275 0.500
Pb3 Pb 0.083 0.500 0.816



# Mg3CdPb3 | Alexandria | PBE-GGA | optimized geometry
# - Energy above the most stable polymorph in this dataset: 0.516 eV per atom
data_Mg3CdPb3
_chemical_formula_sum 'Mg6 Cd2 Pb6'
_cell_length_a 8.159
_cell_length_b 8.159
_cell_length_c 8.159
_cell_angle_alpha 90.00
_cell_angle_beta 90.00
_cell_angle_gamma 90.00
_symmetry_space_group_name_H-M 'P m -3 n'
_symmetry_Int_Tables_number 223
_symmetry_space_group_name_Hall '-P 4n 2 3'
loop_
_atom_site_label
_atom_site_type_symbol
_atom_site_fract_x
_atom_site_fract_y
_atom_site_fract_z
Mg1 Mg 0.000 0.250 0.500
Cd1 Cd 0.000 0.000 0.000
Pb1 Pb 0.000 0.500 0.250



# Mg2CdPb | Alexandria | PBE-GGA | optimized geometry
# - Total DFT energy (no corrections): -1.97 eV/atom
data_Mg2CdPb
_chemical_formula_sum 'Mg6 Cd3 Pb3'
_cell_length_a 3.4026
_cell_length_b 3.4026
_cell_length_c 29.8603
_cell_angle_alpha 90.00
_cell_angle_beta 90.00
_cell_angle_gamma 120.00
_symmetry_space_group_name_H-M 'R -3 m'
_symmetry_Int_Tables_number 166
_symmetry_space_group_name_Hall '-R 3 2"'
loop_
_atom_site_label
_atom_site_type_symbol
_atom_site_fract_x
_atom_site_fract_y
_atom_site_fract_z
Mg1 Mg 0.0000 0.0000 0.2415
Cd1 Cd 0.0000 0.0000 0.5000
Pb1 Pb 0.0000 0.0000 0.0000



# Mg12Cd6Pb | Alexandria | PBE-GGA | optimized geometry
# - Total DFT energy (no corrections): -1.57 eV/atom
data_Mg12Cd6Pb
_chemical_formula_sum 'Mg36 Cd18 Pb3'
_cell_length_a 13.7767
_cell_length_b 13.7767
_cell_length_c 7.7463
_cell_angle_alpha 90.00
_cell_angle_beta 90.00
_cell_angle_gamma 120.00
_symmetry_space_group_name_H-M 'R -3'
_symmetry_Int_Tables_number 148
_symmetry_space_group_name_Hall '-R 3'
loop_
_atom_site_label
_atom_site_type_symbol
_atom_site_fract_x
_atom_site_fract_y
_atom_site_fract_z
Mg1 Mg 0.0131 0.1405 0.1630
Mg2 Mg 0.0654 0.5619 0.1688
Cd1 Cd 0.0312 0.2758 0.8284
Pb1 Pb 0.0000 0.0000 0.5000



# Mg2Cd9Pb | Alexandria | PBE-GGA | optimized geometry
# - Energy above the most stable polymorph in this dataset: 0.048 eV per atom
data_Mg2Cd9Pb
_chemical_formula_sum 'Mg2 Cd9 Pb1'
_cell_length_a 10.0935
_cell_length_b 10.0935
_cell_length_c 3.2142
_cell_angle_alpha 90.00
_cell_angle_beta 90.00
_cell_angle_gamma 120.00
_symmetry_space_group_name_H-M 'P 6/m m m'
_symmetry_Int_Tables_number 191
_symmetry_space_group_name_Hall '-P 6 2'
loop_
_atom_site_label
_atom_site_type_symbol
_atom_site_fract_x
_atom_site_fract_y
_atom_site_fract_z
Mg1 Mg 0.3333 0.6667 0.0000
Cd1 Cd 0.0000 0.5000 0.0000
Cd2 Cd 0.1796 0.3591 0.5000
Pb1 Pb 0.0000 0.0000 0.0000



# MgCd2Pb2 | Alexandria | PBE-GGA | optimized geometry
# - Energy above the most stable polymorph in this dataset: 0.095 eV per atom
data_MgCd2Pb2
_chemical_formula_sum 'Mg2 Cd4 Pb4'
_cell_length_a 4.081
_cell_length_b 4.081
_cell_length_c 17.072
_cell_angle_alpha 90.00
_cell_angle_beta 90.00
_cell_angle_gamma 90.00
_symmetry_space_group_name_H-M 'I 4/m m m'
_symmetry_Int_Tables_number 139
_symmetry_space_group_name_Hall '-I 4 2'
loop_
_atom_site_label
_atom_site_type_symbol
_atom_site_fract_x
_atom_site_fract_y
_atom_site_fract_z
Mg1 Mg 0.000 0.000 0.000
Cd1 Cd 0.000 0.500 0.250
Pb1 Pb 0.000 0.000 0.399



# Mg5Cd2Pb5 | Alexandria | PBE-GGA | optimized geometry
# - Total DFT energy (no corrections): -2.36 eV/atom
data_Mg5Cd2Pb5
_chemical_formula_sum 'Mg10 Cd4 Pb10'
_cell_length_a 15.108
_cell_length_b 5.329
_cell_length_c 9.078
_cell_angle_alpha 90.00
_cell_angle_beta 120.14
_cell_angle_gamma 90.00
_symmetry_space_group_name_H-M 'C 1 2/m 1'
_symmetry_Int_Tables_number 12
_symmetry_space_group_name_Hall '-C 2y'
loop_
_atom_site_label
_atom_site_type_symbol
_atom_site_fract_x
_atom_site_fract_y
_atom_site_fract_z
Mg1 Mg 0.000 0.000 0.000
Mg2 Mg 0.080 0.000 0.414
Mg3 Mg 0.244 0.000 0.221
Cd1 Cd 0.152 0.000 0.802
Pb1 Pb 0.000 0.500 0.500
Pb2 Pb 0.099 0.500 0.940
Pb3 Pb 0.176 0.500 0.357



# MgCd2Pb | Alexandria | PBE-GGA | optimized geometry
# - Energy above the most stable polymorph in this dataset: 0.083 eV per atom
data_MgCd2Pb
_chemical_formula_sum 'Mg4 Cd8 Pb4'
_cell_length_a 4.426
_cell_length_b 4.426
_cell_length_c 21.542
_cell_angle_alpha 90.00
_cell_angle_beta 90.00
_cell_angle_gamma 90.00
_symmetry_space_group_name_H-M 'I -4 2 d'
_symmetry_Int_Tables_number 122
_symmetry_space_group_name_Hall 'I -4 2bw'
loop_
_atom_site_label
_atom_site_type_symbol
_atom_site_fract_x
_atom_site_fract_y
_atom_site_fract_z
Mg1 Mg 0.000 0.000 0.000
Cd1 Cd 0.231 0.250 0.125
Pb1 Pb 0.000 0.000 0.500



# MgCd2Pb2 | Alexandria | PBE-GGA | optimized geometry
# - Energy above the most stable polymorph in this dataset: 0.000 eV per atom
data_MgCd2Pb2
_chemical_formula_sum 'Mg2 Cd4 Pb4'
_cell_length_a 3.530
_cell_length_b 3.530
_cell_length_c 21.136
_cell_angle_alpha 90.00
_cell_angle_beta 90.00
_cell_angle_gamma 90.00
_symmetry_space_group_name_H-M 'I 4/m m m'
_symmetry_Int_Tables_number 139
_symmetry_space_group_name_Hall '-I 4 2'
loop_
_atom_site_label
_atom_site_type_symbol
_atom_site_fract_x
_atom_site_fract_y
_atom_site_fract_z
Mg1 Mg 0.000 0.000 0.000
Cd1 Cd 0.000 0.000 0.207
Pb1 Pb 0.000 0.000 0.400



# Mg6CdPb2 | Alexandria | PBE-GGA | optimized geometry
# - Energy above the most stable polymorph in this dataset: 0.000 eV per atom
data_Mg6CdPb2
_chemical_formula_sum 'Mg6 Cd1 Pb2'
_cell_length_a 8.1071
_cell_length_b 8.1071
_cell_length_c 3.8283
_cell_angle_alpha 90.00
_cell_angle_beta 90.00
_cell_angle_gamma 120.00
_symmetry_space_group_name_H-M 'P -6 2 m'
_symmetry_Int_Tables_number 189
_symmetry_space_group_name_Hall 'P -6 -2'
loop_
_atom_site_label
_atom_site_type_symbol
_atom_site_fract_x
_atom_site_fract_y
_atom_site_fract_z
Mg1 Mg 0.0000 0.2637 0.0000
Mg2 Mg 0.0000 0.6295 0.5000
Cd1 Cd 0.0000 0.0000 0.5000
Pb1 Pb 0.3333 0.6667 0.0000



# Mg2CdPb | Alexandria | PBE-GGA | optimized geometry
# - Total DFT energy (no corrections): -1.86 eV/atom
data_Mg2CdPb
_chemical_formula_sum 'Mg8 Cd4 Pb4'
_cell_length_a 4.574
_cell_length_b 4.574
_cell_length_c 20.333
_cell_angle_alpha 90.00
_cell_angle_beta 90.00
_cell_angle_gamma 90.00
_symmetry_space_group_name_H-M 'I -4 2 d'
_symmetry_Int_Tables_number 122
_symmetry_space_group_name_Hall 'I -4 2bw'
loop_
_atom_site_label
_atom_site_type_symbol
_atom_site_fract_x
_atom_site_fract_y
_atom_site_fract_z
Mg1 Mg 0.236 0.250 0.125
Cd1 Cd 0.000 0.000 0.000
Pb1 Pb 0.000 0.000 0.500



# MgCd2Pb | Alexandria | PBE-GGA | optimized geometry
# - Energy above the most stable polymorph in this dataset: 0.000 eV per atom
data_MgCd2Pb
_chemical_formula_sum 'Mg2 Cd4 Pb2'
_cell_length_a 4.488
_cell_length_b 4.613
_cell_length_c 9.459
_cell_angle_alpha 90.00
_cell_angle_beta 91.58
_cell_angle_gamma 90.00
_symmetry_space_group_name_H-M 'P 1 21/m 1'
_symmetry_Int_Tables_number 11
_symmetry_space_group_name_Hall '-P 2yb'
loop_
_atom_site_label
_atom_site_type_symbol
_atom_site_fract_x
_atom_site_fract_y
_atom_site_fract_z
Mg1 Mg 0.001 0.250 0.140
Cd1 Cd 0.002 0.750 0.387
Cd2 Cd 0.499 0.250 0.383
Pb1 Pb 0.499 0.750 0.132



# MgCd6Pb2 | Alexandria | PBE-GGA | optimized geometry
# - Total DFT energy (no corrections): -1.57 eV/atom
data_MgCd6Pb2
_chemical_formula_sum 'Mg1 Cd6 Pb2'
_cell_length_a 8.6625
_cell_length_b 8.6625
_cell_length_c 3.5411
_cell_angle_alpha 90.00
_cell_angle_beta 90.00
_cell_angle_gamma 120.00
_symmetry_space_group_name_H-M 'P 6/m m m'
_symmetry_Int_Tables_number 191
_symmetry_space_group_name_Hall '-P 6 2'
loop_
_atom_site_label
_atom_site_type_symbol
_atom_site_fract_x
_atom_site_fract_y
_atom_site_fract_z
Mg1 Mg 0.0000 0.0000 0.0000
Cd1 Cd 0.0000 0.3281 0.5000
Pb1 Pb 0.3333 0.6667 0.0000



# MgCd2Pb | Alexandria | PBE-GGA | optimized geometry
# - Energy above the most stable polymorph in this dataset: 0.072 eV per atom
data_MgCd2Pb
_chemical_formula_sum 'Mg1 Cd2 Pb1'
_cell_length_a 5.395
_cell_length_b 5.395
_cell_length_c 3.499
_cell_angle_alpha 90.00
_cell_angle_beta 90.00
_cell_angle_gamma 90.00
_symmetry_space_group_name_H-M 'P 4/m m m'
_symmetry_Int_Tables_number 123
_symmetry_space_group_name_Hall '-P 4 2'
loop_
_atom_site_label
_atom_site_type_symbol
_atom_site_fract_x
_atom_site_fract_y
_atom_site_fract_z
Mg1 Mg 0.000 0.000 0.000
Cd1 Cd 0.000 0.500 0.500
Pb1 Pb 0.500 0.500 0.000



# MgCd2Pb | Alexandria | PBE-GGA | optimized geometry
# - Energy above the most stable polymorph in this dataset: 0.063 eV per atom
data_MgCd2Pb
_chemical_formula_sum 'Mg2 Cd4 Pb2'
_cell_length_a 3.600
_cell_length_b 5.672
_cell_length_c 10.050
_cell_angle_alpha 90.00
_cell_angle_beta 90.00
_cell_angle_gamma 90.00
_symmetry_space_group_name_H-M 'C m m 2'
_symmetry_Int_Tables_number 35
_symmetry_space_group_name_Hall 'C 2 -2'
loop_
_atom_site_label
_atom_site_type_symbol
_atom_site_fract_x
_atom_site_fract_y
_atom_site_fract_z
Mg1 Mg 0.000 0.000 0.000
Cd1 Cd 0.000 0.000 0.529
Cd2 Cd 0.000 0.500 0.767
Pb1 Pb 0.000 0.500 0.261



# Mg4Cd3Pb | Alexandria | PBE-GGA | optimized geometry
# - Total DFT energy (no corrections): -1.67 eV/atom
data_Mg4Cd3Pb
_chemical_formula_sum 'Mg8 Cd6 Pb2'
_cell_length_a 10.569
_cell_length_b 6.396
_cell_length_c 5.411
_cell_angle_alpha 90.00
_cell_angle_beta 90.00
_cell_angle_gamma 90.00
_symmetry_space_group_name_H-M 'P m m a'
_symmetry_Int_Tables_number 51
_symmetry_space_group_name_Hall '-P 2a 2a'
loop_
_atom_site_label
_atom_site_type_symbol
_atom_site_fract_x
_atom_site_fract_y
_atom_site_fract_z
Mg1 Mg 0.000 0.240 0.000
Mg2 Mg 0.250 0.241 0.373
Cd1 Cd 0.000 0.000 0.500
Cd2 Cd 0.250 0.000 0.869
Cd3 Cd 0.250 0.500 0.896
Pb1 Pb 0.000 0.500 0.500



# Mg4CdPb10 | Alexandria | PBE-GGA | optimized geometry
# - Total DFT energy (no corrections): -2.92 eV/atom
data_Mg4CdPb10
_chemical_formula_sum 'Mg4 Cd1 Pb10'
_cell_length_a 7.185
_cell_length_b 8.612
_cell_length_c 8.758
_cell_angle_alpha 82.60
_cell_angle_beta 66.84
_cell_angle_gamma 68.57
_symmetry_space_group_name_H-M 'P -1'
_symmetry_Int_Tables_number 2
_symmetry_space_group_name_Hall '-P 1'
loop_
_atom_site_label
_atom_site_type_symbol
_atom_site_fract_x
_atom_site_fract_y
_atom_site_fract_z
Mg1 Mg 0.100 0.200 0.101
Mg2 Mg 0.300 0.600 0.300
Cd1 Cd 0.500 0.000 0.500
Pb1 Pb 0.046 0.110 0.790
Pb2 Pb 0.150 0.292 0.411
Pb3 Pb 0.248 0.509 0.989
Pb4 Pb 0.350 0.689 0.613
Pb5 Pb 0.450 0.907 0.187